Record 1
{
  "formula": "BaSn3H",
  "functional": "PBE",
  "state": "relaxed",
  "rho_kg_m3": 6516,
  "polymorph_energy_mev_per_atom": 89.9,
  "lattice_angstrom": [[5.013, 0.000, 0.000], [0.000, 5.013, 0.000], [0.000, 0.000, 5.013]],
  "species": ["Ba", "Sn", "Sn", "Sn", "H"],
  "frac_coords": [[0.000, 0.000, 0.000], [0.000, 0.500, 0.500], [0.500, 0.000, 0.500], [0.500, 0.500, 0.000], [0.500, 0.500, 0.500]]
}

=====

Record 2
{
  "formula": "BaSnH2",
  "functional": "PBE",
  "state": "relaxed",
  "rho_kg_m3": 5607,
  "polymorph_energy_mev_per_atom": 383.9,
  "lattice_angstrom": [[0.000, 3.368, 3.368], [3.368, 0.000, 3.368], [3.368, 3.368, 0.000]],
  "species": ["Ba", "Sn", "H", "H"],
  "frac_coords": [[0.000, 0.000, 0.000], [0.500, 0.500, 0.500], [0.250, 0.250, 0.250], [0.750, 0.750, 0.750]]
}